Record 1
Density functional theory data (GGA+U) for a geometry-optimized V3CrO structure.

Lattice parameters (Å, degrees): 4.0814 4.0814 4.0814 90.00 90.00 90.00
Fractional positions:
Cr 0.5000 0.5000 0.5000
V 0.0000 0.0000 0.5000
V 0.0000 0.5000 0.0000
V 0.5000 0.0000 0.0000
O 0.0000 0.0000 0.0000

Calculated values
Energy relative to the lowest polymorph listed for this composition = 0 meV per atom
Uncorrected energy = -6.41 eV/atom
DOS(E_F) = 3.4 states/eV per cell

=====

Record 2
Density functional theory data (GGA+U) for a geometry-optimized VCrO3 structure.

Lattice parameters (Å, degrees): 5.1173 5.4941 9.0980 85.38 73.51 117.60
Fractional positions:
O 0.7517 0.2252 0.0259
O 0.4470 0.3746 0.8740
O 0.9476 0.9773 0.7768
O 0.0523 0.5227 0.7231
O 0.5508 0.6238 0.1242
O 0.0544 0.0304 0.2233
O 0.5529 0.1253 0.6260
O 0.4492 0.8763 0.3758
O 0.2483 0.2748 0.4741
O 0.9456 0.4696 0.2767
O 0.2518 0.7779 0.9732
O 0.7482 0.7221 0.5268
Cr 0.3494 0.3722 0.6745
Cr 0.1516 0.3786 0.0740
Cr 0.8484 0.1214 0.4260
Cr 0.6505 0.1278 0.8255
V 0.6490 0.6211 0.3246
V 0.1478 0.8704 0.5765
V 0.3511 0.8790 0.1754
V 0.8522 0.6296 0.9235

Calculated values
Uncorrected energy = -7.98 eV/atom
DOS(E_F) = 0.0 states/eV per cell